# 1
A relaxed Zr5Fe3H12 crystal. Source: Alexandria via LeMat-Bulk, functional PBE.

density of states at the Fermi level = 59.03 states/eV/cell

Cell: 11.6386 11.6386 11.6386 Å, 90.00 90.00 90.00°
Space group Ia-3d (No. 230)
Symmetry-distinct sites (fractional):
1 Zr 0.0000 0.0000 0.0000
2 Zr 0.0000 0.2500 0.3750
3 Fe 0.0000 0.2500 0.1250
4 H 0.0130 0.0508 0.1645

# 2
A relaxed In2OsPb crystal. Source: Alexandria via LeMat-Bulk, functional PBE.

density of states at the Fermi level = 3.46 states/eV/cell
E_form = 0.42 eV/atom

Cell: 3.2545 3.2545 8.9286 Å, 90.00 90.00 90.00°
Space group P4mm (No. 99)
Symmetry-distinct sites (fractional):
1 In 0.0000 0.0000 0.0000
2 In 0.5000 0.5000 0.2891
3 Os 0.0000 0.0000 0.4685
4 Pb 0.5000 0.5000 0.6715

# 3
A relaxed Hf2ThIr crystal. Source: Alexandria via LeMat-Bulk, functional PBE.

density of states at the Fermi level = 14.09 states/eV/cell
E_form = -0.14 eV/atom
relative energy among the computed polymorphs = 0.2689 eV per atom

Cell: 4.3518 4.3518 18.2442 Å, 90.00 90.00 120.00°
Space group R-3m (No. 166, hexagonal axes)
Symmetry-distinct sites (fractional):
1 Hf 0.0000 0.0000 0.2172
2 Th 0.0000 0.0000 0.0000
3 Ir 0.0000 0.0000 0.5000

# 4
A relaxed BaErTl crystal. Source: Alexandria via LeMat-Bulk, functional PBE.

density of states at the Fermi level = 8.21 states/eV/cell
E_form = -0.13 eV/atom
relative energy among the computed polymorphs = 0.1522 eV per atom

Cell: 4.0061 4.0061 13.8662 Å, 90.00 90.00 90.00°
Space group I4mm (No. 107)
Symmetry-distinct sites (fractional):
1 Ba 0.0000 0.0000 0.0000
2 Er 0.0000 0.0000 0.2805
3 Tl 0.0000 0.0000 0.6801

# 5
A relaxed CrCuRe2 crystal. Source: Alexandria via LeMat-Bulk, functional PBE.

density of states at the Fermi level = 7.19 states/eV/cell
E_form = 0.27 eV/atom
relative energy among the computed polymorphs = 0.0479 eV per atom

Cell: 2.7099 2.7099 26.2466 Å, 90.00 90.00 120.00°
Space group R3m (No. 160, hexagonal axes)
Symmetry-distinct sites (fractional):
1 Cr 0.0000 0.0000 0.0000
2 Cu 0.0000 0.0000 0.7468
3 Re 0.0000 0.0000 0.2505
4 Re 0.0000 0.0000 0.4994

# 6
A relaxed LaTcPt2 crystal. Source: Alexandria via LeMat-Bulk, functional PBE.

density of states at the Fermi level = 3.35 states/eV/cell
E_form = -0.22 eV/atom
relative energy among the computed polymorphs = 0.0922 eV per atom

Cell: 2.9296 2.9296 8.5340 Å, 90.00 90.00 90.00°
Space group P4/mmm (No. 123)
Symmetry-distinct sites (fractional):
1 La 0.0000 0.0000 0.0000
2 Tc 0.0000 0.0000 0.5000
3 Pt 0.5000 0.5000 0.2891

# 7
A relaxed PmNd2Y2Ho4 crystal. Source: Alexandria via LeMat-Bulk, functional PBE.

density of states at the Fermi level = 24.79 states/eV/cell
E_form = 0.00 eV/atom

Cell: 18.7679 3.6149 9.6021 Å, 90.00 115.74 90.00°
Space group C2/m (No. 12)
Symmetry-distinct sites (fractional):
1 Pm 0.0000 0.0000 0.0000
2 Nd 0.1664 0.5000 0.0014
3 Y 0.1468 0.0000 0.6625
4 Ho 0.0192 0.5000 0.3356
5 Ho 0.1856 0.0000 0.3371

# 8
A relaxed AlIn2Fe crystal. Source: Alexandria via LeMat-Bulk, functional PBE.

density of states at the Fermi level = 11.55 states/eV/cell
E_form = 0.48 eV/atom

Cell: 6.7765 6.7765 6.7765 Å, 90.00 90.00 90.00°
Space group F-43m (No. 216)
Symmetry-distinct sites (fractional):
1 Al 0.0000 0.0000 0.0000
2 In 0.0000 0.0000 0.5000
3 In 0.2500 0.2500 0.7500
4 Fe 0.2500 0.2500 0.2500

# 9
A relaxed PrDy4Te5 crystal. Source: Alexandria via LeMat-Bulk, functional PBE.

density of states at the Fermi level = 10.62 states/eV/cell
relative energy among the computed polymorphs = 0.0000 eV per atom

Cell: 14.6102 4.3792 10.7546 Å, 90.00 119.67 90.00°
Space group C2/m (No. 12)
Symmetry-distinct sites (fractional):
1 Pr 0.0000 0.0000 0.0000
2 Dy 0.0972 0.5000 0.3926
3 Dy 0.2065 0.0000 0.7992
4 Te 0.0000 0.0000 0.5000
5 Te 0.1068 0.5000 0.8950
6 Te 0.2043 0.0000 0.3102

# 10
A relaxed AlInNiPb2 crystal. Source: Alexandria via LeMat-Bulk, functional PBE.

density of states at the Fermi level = 4.32 states/eV/cell
E_form = 1.14 eV/atom

Cell: 5.7443 5.7443 5.0480 Å, 90.00 90.00 90.00°
Space group P4/mmm (No. 123)
Symmetry-distinct sites (fractional):
1 Al 0.0000 0.0000 0.0000
2 In 0.0000 0.0000 0.5000
3 Ni 0.5000 0.5000 0.0000
4 Pb 0.0000 0.5000 0.5000

# 11
A relaxed NaGdTm crystal. Source: Alexandria via LeMat-Bulk, functional PBE.

density of states at the Fermi level = 3.94 states/eV/cell
E_form = 0.14 eV/atom
relative energy among the computed polymorphs = 0.0000 eV per atom

Cell: 3.5113 3.5113 9.2147 Å, 90.00 90.00 120.00°
Space group P3m1 (No. 156)
Symmetry-distinct sites (fractional):
1 Na 0.0000 0.0000 0.0000
2 Gd 0.3333 0.6667 0.6447
3 Tm 0.6667 0.3333 0.3467

# 12
A relaxed La3Pm2ErS6 crystal. Source: Alexandria via LeMat-Bulk, functional PBE.

density of states at the Fermi level = 11.58 states/eV/cell

Cell: 7.0230 12.1893 7.0661 Å, 90.00 109.44 90.00°
Space group C2/m (No. 12)
Symmetry-distinct sites (fractional):
1 La 0.0000 0.0000 0.0000
2 La 0.0000 0.3299 0.0000
3 Pm 0.0000 0.1667 0.5000
4 Er 0.0000 0.5000 0.5000
5 S 0.2401 0.3380 0.7350
6 S 0.2443 0.5000 0.2617

Values of uncorrected energy, in order: -5.52, -4.69, -9.18, -3.08, -9.38, -7.06, -5.06, -3.94, -5.20, -2.80, -6.48, -6.56, all in eV/atom.